Here is a geometry-optimized NdSb4 structure from Alexandria. Energies are from PBE-GGA.

Values from the calculation:
E_form (uncorrected) = 3.349 eV/f.u.
VASP energy = -3.582 eV per atom
density = 5.093 g/cm³

Structure (POSCAR):
```
NdSb4
1.0
-4.6751 2.9838 -2.0250
-2.9575 -1.2756 4.9483
2.0632 4.9325 2.5046
Sb Nd
4 1
direct
0.0000 0.5000 0.5000
0.0000 0.0000 0.0000
0.5000 0.0000 0.5000
0.5000 0.5000 0.0000
0.5000 0.5000 0.5000
```

Here is a geometry-optimized NdSb2 structure from Alexandria. Energies are from PBE-GGA.

Values from the calculation:
E_form (uncorrected) = -2.010 eV/f.u.
VASP energy = -5.007 eV per atom
density = 7.425 g/cm³

Structure (POSCAR):
```
NdSb2
1.0
4.1565 0.0027 0.0020
0.0027 4.1565 0.0020
-2.0760 -2.0760 5.0174
Nd Sb
1 2
direct
0.5000 0.5000 0.0000
0.1498 0.1498 0.3028
0.8502 0.8502 0.6972
```

Here is a geometry-optimized Nd4Sb3 structure from Alexandria. Energies are from PBE-GGA.

Values from the calculation:
E_form (uncorrected) = -7.444 eV/f.u.
VASP energy = -5.555 eV per atom
density = 7.265 g/cm³
E above lowest polymorph = 0 meV per atom

Structure (POSCAR):
```
Nd4Sb3
1.0
8.2403 0.0000 0.0000
-2.7468 7.7690 0.0000
-2.7468 -3.8845 6.7282
Nd Sb
8 6
direct
0.3589 0.3589 0.3589
0.0000 0.1411 0.5000
0.1411 0.5000 0.0000
0.6411 0.5000 0.0000
0.0000 0.6411 0.5000
0.8589 0.8589 0.8589
0.5000 0.0000 0.6411
0.5000 0.0000 0.1411
0.8750 0.2500 0.1250
0.3750 0.6250 0.7500
0.1250 0.8750 0.2500
0.7500 0.3750 0.6250
0.2500 0.1250 0.8750
0.6250 0.7500 0.3750
```

Here is a geometry-optimized Nd3Sb2 structure from Alexandria. Energies are from PBE-GGA.

Values from the calculation:
E_form (uncorrected) = -4.354 eV/f.u.
VASP energy = -5.380 eV per atom
density = 6.660 g/cm³

Structure (POSCAR):
```
Nd3Sb2
1.0
6.3997 0.0000 0.0000
0.0000 8.8404 0.0000
-3.1999 -4.4202 5.9600
Nd Sb
6 4
direct
0.8506 0.2100 0.7012
0.6494 0.5088 0.2988
0.3506 0.4912 0.7012
0.1494 0.7900 0.2988
0.2500 0.0000 0.0000
0.7500 0.0000 0.0000
0.1113 0.3954 0.2226
0.6113 0.8271 0.2226
0.3887 0.1729 0.7774
0.8887 0.6046 0.7774
```

Here is a geometry-optimized Nd4Sb3 structure from Alexandria. Energies are from PBE-GGA.

Values from the calculation:
E_form (uncorrected) = -6.067 eV/f.u.
VASP energy = -5.358 eV per atom
density = 6.231 g/cm³
E above lowest polymorph = 197 meV per atom

Structure (POSCAR):
```
Nd4Sb3
1.0
-0.8170 -1.8413 -5.9785
4.6947 -4.1652 0.6413
-4.1343 -4.3659 1.9096
Nd Sb
4 3
direct
0.5000 0.0000 0.5000
0.5000 0.5000 0.0000
0.0000 0.0000 0.0000
0.0000 0.5000 0.5000
0.0000 0.0000 0.5000
0.5000 0.0000 0.0000
0.0000 0.5000 0.0000
```

Here is a geometry-optimized NdSb6 structure from Alexandria. Energies are from PBE-GGA.

Values from the calculation:
E_form (uncorrected) = 3.593 eV/f.u.
VASP energy = -3.701 eV per atom
density = 5.058 g/cm³

Structure (POSCAR):
```
NdSb6
1.0
7.1990 0.0000 0.0000
-2.3997 6.7872 0.0000
-2.3997 -3.3936 5.8779
Nd Sb
1 6
direct
0.0000 0.0000 0.0000
0.5000 0.2500 0.7500
0.7500 0.2500 0.5000
0.7500 0.5000 0.2500
0.2500 0.5000 0.7500
0.2500 0.7500 0.5000
0.5000 0.7500 0.2500
```